Record 1
# Ho4AlAg2Au (PBE, relaxed)
# Magnetic moment in μB/f.u.: 0.000
# Calculated formation energy in eV per atom: -0.483
# Crystal system: trigonal
data_Ho4AlAg2Au
_symmetry_space_group_name_H-M 'R -3 m'
_symmetry_Int_Tables_number 166
_symmetry_space_group_name_Hall '-R 3 2"'
_cell_length_a 5.0944
_cell_length_b 5.0944
_cell_length_c 25.0723
_cell_angle_alpha 90.00
_cell_angle_beta 90.00
_cell_angle_gamma 120.00
loop_
_atom_site_label
_atom_site_type_symbol
_atom_site_fract_x
_atom_site_fract_y
_atom_site_fract_z
Ho1 Ho 0.0000 0.0000 0.1221
Ho2 Ho 0.0000 0.0000 0.3729
Al1 Al 0.0000 0.0000 0.5000
Ag1 Ag 0.0000 0.0000 0.2431
Au1 Au 0.0000 0.0000 0.0000



Record 2
# Al2AgAuI (PBE, relaxed)
# Magnetic moment in μB/f.u.: 0.000
# ΔE_f (raw) in eV per atom: 0.329
# Crystal system: tetragonal
data_Al2AgAuI
_symmetry_space_group_name_H-M 'P 4/m m m'
_symmetry_Int_Tables_number 123
_symmetry_space_group_name_Hall '-P 4 2'
_cell_length_a 4.779
_cell_length_b 4.779
_cell_length_c 6.665
_cell_angle_alpha 90.00
_cell_angle_beta 90.00
_cell_angle_gamma 90.00
loop_
_atom_site_label
_atom_site_type_symbol
_atom_site_fract_x
_atom_site_fract_y
_atom_site_fract_z
Al1 Al 0.000 0.500 0.000
Ag1 Ag 0.000 0.000 0.500
Au1 Au 0.500 0.500 0.000
I1 I 0.500 0.500 0.500